First-principles (PBE) data for an optimized crystal structure of MnCr2HgH, as listed in Alexandria via LeMat-Bulk.

Cell and atoms, written as POSCAR:
```
MnCr2HgH
1.0
4.4328 0.0000 0.0000
0.0000 4.4328 0.0000
0.0000 0.0000 5.1054
Mn Cr Hg H
1 2 1 1
Direct
0.0000 0.0000 0.0000
0.0000 0.5000 0.0000
0.5000 0.0000 0.0000
0.0000 0.0000 0.5000
0.5000 0.5000 0.5000
```

Calculated density in g/cm³: 5.97
SG: No. 123
Uncorrected energy in eV for the cell shown: -25.32

=====

First-principles (PBE) data for an optimized crystal structure of In2SnPd5Au, as listed in Alexandria via LeMat-Bulk.

Cell and atoms, written as POSCAR:
```
In2SnPd5Au
1.0
-3.9293 3.9293 5.6155
3.9293 -3.9293 5.6155
3.9293 3.9293 -5.6155
In Sn Pd Au
4 2 10 2
Direct
0.1188 0.6188 0.7377
0.3812 0.1188 0.5000
0.6188 0.8812 0.5000
0.8812 0.3812 0.2623
0.2500 0.2500 0.0000
0.7500 0.7500 0.0000
0.0000 0.0000 0.0000
0.0653 0.1679 0.5000
0.1679 0.6679 0.1026
0.3321 0.4347 0.5000
0.4347 0.9347 0.1026
0.5000 0.5000 0.0000
0.5653 0.0653 0.8974
0.6679 0.5653 0.5000
0.8321 0.3321 0.8974
0.9347 0.8321 0.5000
0.2500 0.7500 0.5000
0.7500 0.2500 0.5000
```

Calculated density in g/cm³: 10.32
SG: No. 140
ΔE_f in meV/atom: -128

=====

First-principles (PBE) data for an optimized crystal structure of NaYAl3, as listed in Alexandria via LeMat-Bulk.

Cell and atoms, written as POSCAR:
```
NaYAl3
1.0
4.9347 0.0000 0.0000
0.0000 4.9347 0.0000
0.0000 0.0000 4.9347
Na Y Al
1 1 3
Direct
0.0000 0.0000 0.0000
0.5000 0.5000 0.5000
0.0000 0.0000 0.5000
0.0000 0.5000 0.0000
0.5000 0.0000 0.0000
```

Energy relative to the lowest polymorph listed for this composition in meV per atom: 0.0
Calculated density in g/cm³: 2.66
SG: No. 221
ΔE_f in meV/atom: 637